<w>
A plane-wave DFT calculation with PBE was carried out for TlIn3Ga after structural relaxation.

Mass density, Mg/m³: 5.416

Lattice parameters (Å, degrees): 5.745 5.745 5.745 90.00 90.00 90.00
Sites, in units of the cell vectors:
Tl (0.000, 0.000, 0.000)
In (0.000, 0.000, 0.500)
In (0.000, 0.500, 0.000)
In (0.500, 0.000, 0.000)
Ga (0.500, 0.500, 0.500)

=====

<x>
A plane-wave DFT calculation with PBE was carried out for TlIn3Ga after structural relaxation.

Mass density, Mg/m³: 6.492

Lattice parameters (Å, degrees): 5.409 5.409 5.409 90.00 90.00 90.00
Sites, in units of the cell vectors:
Tl (0.000, 0.000, 0.000)
In (0.000, 0.500, 0.500)
In (0.500, 0.000, 0.500)
In (0.500, 0.500, 0.000)
Ga (0.500, 0.500, 0.500)

=====

<y>
A plane-wave DFT calculation with PBE was carried out for TlIn3Ga after structural relaxation.

Mass density, Mg/m³: 7.700

Lattice parameters (Å, degrees): 8.323 3.657 9.131 90.00 106.25 90.00
Sites, in units of the cell vectors:
Tl (0.141, 0.250, 0.150)
Tl (0.859, 0.750, 0.850)
In (0.081, 0.250, 0.657)
In (0.317, 0.750, 0.489)
In (0.320, 0.750, 0.919)
In (0.680, 0.250, 0.081)
In (0.683, 0.250, 0.511)
In (0.919, 0.750, 0.343)
Ga (0.498, 0.750, 0.253)
Ga (0.502, 0.250, 0.747)

=====

<z>
A plane-wave DFT calculation with PBE was carried out for TlIn3Ga after structural relaxation.

Mass density, Mg/m³: 7.437

Lattice parameters (Å, degrees): 9.273 6.307 9.446 90.00 90.31 90.00
Sites, in units of the cell vectors:
Tl (0.098, 0.002, 0.168)
Tl (0.098, 0.498, 0.668)
Tl (0.902, 0.502, 0.332)
Tl (0.902, 0.998, 0.832)
In (0.165, 0.013, 0.533)
In (0.165, 0.487, 0.033)
In (0.257, 0.595, 0.343)
In (0.257, 0.905, 0.843)
In (0.446, 0.029, 0.333)
In (0.446, 0.471, 0.833)
In (0.554, 0.529, 0.167)
In (0.554, 0.971, 0.667)
In (0.743, 0.095, 0.157)
In (0.743, 0.405, 0.657)
In (0.835, 0.513, 0.967)
In (0.835, 0.987, 0.467)
Ga (0.410, 0.153, 0.049)
Ga (0.410, 0.347, 0.549)
Ga (0.590, 0.653, 0.451)
Ga (0.590, 0.847, 0.951)

=====

Which of them is least stable? Easy: <w>.

=====

<w>
A plane-wave DFT calculation with PBE was carried out for Tm3In2Ga after structural relaxation.

Mass density, Mg/m³: 9.105

Lattice parameters (Å, degrees): 5.168 5.168 6.357 90.00 90.00 120.00
Sites, in units of the cell vectors:
Tm (0.000, 0.000, 0.000)
Tm (0.333, 0.667, 0.654)
Tm (0.667, 0.333, 0.346)
In (0.333, 0.667, 0.160)
In (0.667, 0.333, 0.840)
Ga (0.000, 0.000, 0.500)

=====

<x>
A plane-wave DFT calculation with PBE was carried out for Tm3In2Ga after structural relaxation.

Mass density, Mg/m³: 9.154

Lattice parameters (Å, degrees): 3.467 3.467 12.163 90.00 90.00 90.00
Sites, in units of the cell vectors:
Tm (0.000, 0.000, 0.000)
Tm (0.000, 0.000, 0.348)
Tm (0.000, 0.000, 0.652)
In (0.500, 0.500, 0.173)
In (0.500, 0.500, 0.827)
Ga (0.500, 0.500, 0.500)

=====

Which of them is least stable? Easy: <w>.

=====

<w>
A plane-wave DFT calculation with PBE was carried out for UIn2Ga after structural relaxation.

Mass density, Mg/m³: 9.151

Lattice parameters (Å, degrees): 11.703 11.703 11.703 15.32 15.32 15.32
Sites, in units of the cell vectors:
U (0.000, 0.000, 0.000)
In (0.093, 0.093, 0.093)
In (0.907, 0.907, 0.907)
Ga (0.500, 0.500, 0.500)

=====

<x>
A plane-wave DFT calculation with PBE was carried out for UIn2Ga after structural relaxation.

Mass density, Mg/m³: 9.632

Lattice parameters (Å, degrees): 4.441 4.441 4.697 90.00 90.00 90.00
Sites, in units of the cell vectors:
U (0.000, 0.000, 0.000)
In (0.000, 0.500, 0.500)
In (0.500, 0.000, 0.500)
Ga (0.500, 0.500, 0.000)

=====

Which of them is least stable? Easy: <w>.

=====

<w>
A plane-wave DFT calculation with PBE was carried out for V3InGa after structural relaxation.

Mass density, Mg/m³: 5.889

Lattice parameters (Å, degrees): 4.565 4.565 4.565 90.00 90.00 90.00
Sites, in units of the cell vectors:
V (0.000, 0.000, 0.500)
V (0.000, 0.500, 0.000)
V (0.500, 0.000, 0.000)
In (0.500, 0.500, 0.500)
Ga (0.000, 0.000, 0.000)

=====

<x>
A plane-wave DFT calculation with PBE was carried out for V3InGa after structural relaxation.

Mass density, Mg/m³: 4.801

Lattice parameters (Å, degrees): 4.887 4.887 4.887 90.00 90.00 90.00
Sites, in units of the cell vectors:
V (0.000, 0.000, 0.500)
V (0.000, 0.500, 0.000)
V (0.500, 0.000, 0.000)
In (0.000, 0.000, 0.000)
Ga (0.500, 0.500, 0.500)

=====

Which of them is least stable? Easy: <x>.

=====

<w>
A plane-wave DFT calculation with PBE was carried out for V2InGa2 after structural relaxation.

Mass density, Mg/m³: 7.076

Lattice parameters (Å, degrees): 7.066 7.066 3.348 90.00 90.00 90.00
Sites, in units of the cell vectors:
V (0.116, 0.384, 0.000)
V (0.384, 0.884, 0.000)
V (0.616, 0.116, 0.000)
V (0.884, 0.616, 0.000)
In (0.000, 0.000, 0.000)
In (0.500, 0.500, 0.000)
Ga (0.178, 0.678, 0.500)
Ga (0.322, 0.178, 0.500)
Ga (0.678, 0.822, 0.500)
Ga (0.822, 0.322, 0.500)

=====

<x>
A plane-wave DFT calculation with PBE was carried out for V2InGa2 after structural relaxation.

Mass density, Mg/m³: 7.229

Lattice parameters (Å, degrees): 7.041 7.041 3.300 90.00 90.00 90.00
Sites, in units of the cell vectors:
V (0.174, 0.326, 0.000)
V (0.326, 0.826, 0.000)
V (0.674, 0.174, 0.000)
V (0.826, 0.674, 0.000)
In (0.000, 0.000, 0.500)
In (0.500, 0.500, 0.500)
Ga (0.124, 0.624, 0.500)
Ga (0.376, 0.124, 0.500)
Ga (0.624, 0.876, 0.500)
Ga (0.876, 0.376, 0.500)

=====

Which of them is least stable? Easy: <x>.

=====

<w>
A plane-wave DFT calculation with PBE was carried out for InGaW2 after structural relaxation.

Mass density, Mg/m³: 13.613

Lattice parameters (Å, degrees): 4.567 4.567 4.567 60.00 60.00 60.00
Sites, in units of the cell vectors:
In (0.000, 0.000, 0.000)
Ga (0.500, 0.500, 0.500)
W (0.250, 0.250, 0.250)
W (0.750, 0.750, 0.750)

=====

<x>
A plane-wave DFT calculation with PBE was carried out for InGaW2 after structural relaxation.

Mass density, Mg/m³: 12.255

Lattice parameters (Å, degrees): 10.282 10.282 10.282 158.21 158.21 31.01
Sites, in units of the cell vectors:
In (0.000, 0.000, 0.000)
In (0.750, 0.250, 0.500)
Ga (0.250, 0.750, 0.500)
Ga (0.500, 0.500, 0.000)
W (0.148, 0.625, 0.023)
W (0.375, 0.398, 0.523)
W (0.602, 0.125, 0.977)
W (0.875, 0.852, 0.477)

=====

Which of them is least stable? Easy: <w>.

=====

<w>
A plane-wave DFT calculation with PBE was carried out for Y2InGaW after structural relaxation.

Mass density, Mg/m³: 5.779

Lattice parameters (Å, degrees): 5.576 5.576 5.048 90.00 90.00 90.00
Sites, in units of the cell vectors:
Y (0.000, 0.500, 0.000)
Y (0.500, 0.000, 0.000)
In (0.000, 0.000, 0.000)
Ga (0.500, 0.500, 0.500)
W (0.000, 0.000, 0.500)

=====

<x>
A plane-wave DFT calculation with PBE was carried out for Y2InGaW after structural relaxation.

Mass density, Mg/m³: 6.715

Lattice parameters (Å, degrees): 5.328 5.328 4.758 90.00 90.00 90.00
Sites, in units of the cell vectors:
Y (0.000, 0.500, 0.000)
Y (0.500, 0.000, 0.000)
In (0.000, 0.000, 0.500)
Ga (0.000, 0.000, 0.000)
W (0.500, 0.500, 0.500)

=====

Which of them is least stable? Easy: <w>.

=====

<w>
A plane-wave DFT calculation with PBE was carried out for Y4In2Ga after structural relaxation.

Mass density, Mg/m³: 4.901

Lattice parameters (Å, degrees): 8.529 8.529 8.529 143.14 143.14 53.12
Sites, in units of the cell vectors:
Y (0.000, 0.500, 0.500)
Y (0.184, 0.184, 0.000)
Y (0.500, 0.000, 0.500)
Y (0.816, 0.816, 0.000)
In (0.383, 0.383, 0.000)
In (0.617, 0.617, 0.000)
Ga (0.000, 0.000, 0.000)

=====

<x>
A plane-wave DFT calculation with PBE was carried out for Y4In2Ga after structural relaxation.

Mass density, Mg/m³: 5.451

Lattice parameters (Å, degrees): 9.031 9.031 9.031 33.47 33.47 33.47
Sites, in units of the cell vectors:
Y (0.124, 0.124, 0.124)
Y (0.375, 0.375, 0.375)
Y (0.625, 0.625, 0.625)
Y (0.876, 0.876, 0.876)
In (0.253, 0.253, 0.253)
In (0.747, 0.747, 0.747)
Ga (0.500, 0.500, 0.500)

=====

Which of them is least stable? Easy: <w>.

=====

<w>
A plane-wave DFT calculation with PBE was carried out for Y3InGa after structural relaxation.

Mass density, Mg/m³: 4.684

Lattice parameters (Å, degrees): 5.428 5.428 5.428 90.00 90.00 90.00
Sites, in units of the cell vectors:
Y (0.000, 0.000, 0.500)
Y (0.000, 0.500, 0.000)
Y (0.500, 0.000, 0.000)
In (0.500, 0.500, 0.500)
Ga (0.000, 0.000, 0.000)

=====

<x>
A plane-wave DFT calculation with PBE was carried out for Y3InGa after structural relaxation.

Mass density, Mg/m³: 5.455

Lattice parameters (Å, degrees): 9.905 9.905 6.451 96.13 96.13 61.04
Sites, in units of the cell vectors:
Y (0.048, 0.268, 0.596)
Y (0.181, 0.694, 0.978)
Y (0.268, 0.048, 0.096)
Y (0.298, 0.382, 0.478)
Y (0.306, 0.819, 0.522)
Y (0.382, 0.298, 0.978)
Y (0.618, 0.702, 0.022)
Y (0.694, 0.181, 0.478)
Y (0.702, 0.618, 0.522)
Y (0.732, 0.952, 0.904)
Y (0.819, 0.306, 0.022)
Y (0.952, 0.732, 0.404)
In (0.001, 0.999, 0.250)
In (0.500, 0.500, 0.250)
In (0.500, 0.500, 0.750)
In (0.999, 0.001, 0.750)
Ga (0.058, 0.408, 0.153)
Ga (0.408, 0.058, 0.653)
Ga (0.592, 0.942, 0.347)
Ga (0.942, 0.592, 0.847)

=====

Which of them is least stable? Easy: <w>.

=====

<w>
A plane-wave DFT calculation with PBE was carried out for YInGa after structural relaxation.

Mass density, Mg/m³: 5.901

Lattice parameters (Å, degrees): 6.140 6.140 6.140 133.12 105.13 93.18
Sites, in units of the cell vectors:
Y (0.244, 0.000, 0.244)
Y (0.756, 0.000, 0.756)
In (0.327, 0.327, 0.000)
In (0.845, 0.345, 0.500)
Ga (0.482, 0.664, 0.818)
Ga (0.846, 0.664, 0.182)

=====

<x>
A plane-wave DFT calculation with PBE was carried out for YInGa after structural relaxation.

Mass density, Mg/m³: 5.442

Lattice parameters (Å, degrees): 8.213 8.213 8.213 157.15 157.15 32.53
Sites, in units of the cell vectors:
Y (0.000, 0.000, 0.000)
In (0.802, 0.802, 0.000)
Ga (0.629, 0.629, 0.000)

=====

<y>
A plane-wave DFT calculation with PBE was carried out for YInGa after structural relaxation.

Mass density, Mg/m³: 6.044

Lattice parameters (Å, degrees): 4.736 4.736 4.736 60.00 60.00 60.00
Sites, in units of the cell vectors:
Y (0.000, 0.000, 0.000)
In (0.500, 0.500, 0.500)
Ga (0.750, 0.750, 0.750)

=====

<z>
A plane-wave DFT calculation with PBE was carried out for YInGa after structural relaxation.

Mass density, Mg/m³: 6.542

Lattice parameters (Å, degrees): 4.729 4.729 3.583 90.00 90.00 120.00
Sites, in units of the cell vectors:
Y (0.000, 0.000, 0.000)
In (0.667, 0.333, 0.529)
Ga (0.333, 0.667, 0.427)

=====

Which of them is least stable? Easy: <x>.